--- P ---
DFT (PBE) results for V2SiPb after structural relaxation.

Cell: 4.1507 4.1507 9.4731 Å, 77.34 77.34 90.00°
Last column: nearest neighbours and their distance in Å.
Fractional positions:
V (0.3750, 0.5145, 0.7500)  2 V 2.27, 2 Si 2.52
V (0.8750, 0.7355, 0.7500)  2 V 2.27, 2 Si 2.52
V (0.4855, 0.1250, 0.2500)  2 V 2.27, 2 Si 2.52
V (0.2645, 0.6250, 0.2500)  2 V 2.27, 2 Si 2.52
Pb (0.0000, 0.0000, 0.0000)  4 Si 2.94, 4 V 2.96
Pb (0.7500, 0.2500, 0.5000)  4 Si 2.94, 4 V 2.96
Si (0.5000, 0.5000, 0.0000)  4 V 2.52
Si (0.2500, 0.7500, 0.5000)  4 V 2.52

Values from the calculation:
Space-group type: I-42d, No. 122
V, Å³ per cell: 155.2
Crystal system: tetragonal
Spin magnetization, μB/cell: 0.000

--- Q ---
DFT (PBE) results for V2SiPb after structural relaxation.

Cell: 4.5067 4.5067 4.5067 Å, 60.00 60.00 60.00°
Last column: nearest neighbours and their distance in Å.
Fractional positions:
Si (0.0000, 0.0000, 0.0000)  8 V 2.76
V (0.7500, 0.7500, 0.7500)  4 Pb 2.76, 4 Si 2.76
V (0.2500, 0.2500, 0.2500)  4 Pb 2.76, 4 Si 2.76
Pb (0.5000, 0.5000, 0.5000)  8 V 2.76

Values from the calculation:
Space-group type: Fm-3m, No. 225
V, Å³ per cell: 64.7
Crystal system: cubic
Spin magnetization, μB/cell: 0.007

The least stable of them is P.